DFT (PBE-GGA) results for a relaxed structure of NiP2SeI.

Summary:
mass density = 3657 kg/m³
calculated total energy = -19.0 eV for the cell shown
raw formation energy = 0.525 eV per atom
DOS at the Fermi energy = 3.06 states/eV per cell

```
data_NiP2SeI
_symmetry_space_group_name_H-M 'P 1'
_symmetry_Int_Tables_number 1
_cell_length_a 4.164
_cell_length_b 4.164
_cell_length_c 8.550
_cell_angle_alpha 90.00
_cell_angle_beta 90.00
_cell_angle_gamma 90.00
loop_
_symmetry_equiv_pos_as_xyz
'x,y,z'
loop_
_atom_site_label
_atom_site_type_symbol
_atom_site_fract_x
_atom_site_fract_y
_atom_site_fract_z
Ni1 Ni 0.000 0.000 0.000
P1 P 0.000 0.500 0.000
P2 P 0.500 0.000 0.000
Se1 Se 0.500 0.500 0.500
I1 I 0.000 0.000 0.500
```